# 1
First-principles (PBE-GGA) data for a relaxed CeHgRuRh crystal, as listed in Alexandria.

Cell lengths 6.696, 6.696, 6.696 Å; angles 90.00, 90.00, 90.00 degrees
Space group F-43m (No. 216)
Asymmetric unit:
Ce (0.000, 0.000, 0.000) [4 per cell]
Hg (0.000, 0.000, 0.500) [4 per cell]
Ru (0.250, 0.250, 0.250) [4 per cell]
Rh (0.250, 0.250, 0.750) [4 per cell]

- DOS(E_F) (states/eV/atom) = 0.76
- raw total energy (eV/atom) = -5.96
- total moment (μB/f.u.) = 0.0

---

# 2
First-principles (PBE-GGA) data for a relaxed Ce2HgSb3Rh4 crystal, as listed in Alexandria.

Cell lengths 4.259, 4.259, 11.756 Å; angles 90.00, 90.00, 90.00 degrees
Space group P-4m2 (No. 115)
Asymmetric unit:
Ce (0.000, 0.500, 0.241) [2 per cell]
Hg (0.500, 0.500, 0.000) [1 per cell]
Sb (0.000, 0.000, 0.000) [1 per cell]
Sb (0.000, 0.500, 0.629) [2 per cell]
Rh (0.000, 0.000, 0.500) [1 per cell]
Rh (0.000, 0.500, 0.844) [2 per cell]
Rh (0.500, 0.500, 0.500) [1 per cell]

- DOS(E_F) (states/eV/atom) = 1.22
- ΔE_f (raw) (meV/atom) = -664
- total moment (μB/f.u.) = 1.3

---

# 3
First-principles (PBE-GGA) data for a relaxed CeScHgRh crystal, as listed in Alexandria.

Cell lengths 7.072, 7.072, 7.072 Å; angles 90.00, 90.00, 90.00 degrees
Space group F-43m (No. 216)
Asymmetric unit:
Ce (0.000, 0.000, 0.000) [4 per cell]
Sc (0.000, 0.000, 0.500) [4 per cell]
Hg (0.250, 0.250, 0.750) [4 per cell]
Rh (0.250, 0.250, 0.250) [4 per cell]

- DOS(E_F) (states/eV/atom) = 1.76
- raw total energy (eV/atom) = -5.43
- total moment (μB/f.u.) = 0.8

---

Q: The lowest DOS(E_F) belongs to which entry?
A: CeHgRuRh

---

Q: Look up the total moment of the second one.
A: 1.3 μB/f.u.

---

Q: DOS(E_F) of number 2 (Ce2HgSb3Rh4)?
A: 1.22 states/eV/atom

---

Q: What is the DOS(E_F) in the first record?
A: 0.76 states/eV/atom